Density functional theory data (GGA-PBEsol) for a geometry-optimized NaBi2Rh2 structure.

```
data_NaBi2Rh2
_chemical_formula_sum 'Na1 Bi2 Rh2'
_cell_length_a 4.149
_cell_length_b 4.149
_cell_length_c 7.417
_cell_angle_alpha 106.24
_cell_angle_beta 106.24
_cell_angle_gamma 90.00
_symmetry_space_group_name_H-M 'P 1'
_symmetry_Int_Tables_number 1
_symmetry_space_group_name_Hall 'P 1'
loop_
_atom_site_label
_atom_site_fract_x
_atom_site_fract_y
_atom_site_fract_z
Bi1 0.628 0.628 0.257
Rh1 0.750 0.250 0.500
Na1 0.000 0.000 0.000
Rh2 0.250 0.750 0.500
Bi2 0.372 0.372 0.743
```

Space-group type: I4/mmm (139)
M_tot (μB per formula unit): 0.0
Final energy (eV/atom): -5.388